A plane-wave DFT calculation with PBE was carried out for PuAsN after structural relaxation.

```
data_PuAsN
_chemical_formula_sum 'Pu2 As2 N2'
_cell_length_a 3.945
_cell_length_b 3.909
_cell_length_c 7.023
_cell_angle_alpha 90.00
_cell_angle_beta 106.17
_cell_angle_gamma 90.00
_symmetry_space_group_name_H-M 'P 1 21/m 1'
_symmetry_Int_Tables_number 11
loop_
_symmetry_equiv_pos_as_xyz
'x,y,z'
'-x,-y,-z'
'-x,y+1/2,-z'
'x,-y+1/2,z'
loop_
_atom_site_label
_atom_site_type_symbol
_atom_site_fract_x
_atom_site_fract_y
_atom_site_fract_z
Pu1 Pu 0.169 0.250 0.336
As1 As 0.441 0.250 0.886
N1 N 0.253 0.750 0.507
```

Calculated density   10.63 g cm⁻³
Size of the total moment   8.2 Bohr magnetons per cell
Energy   -10.031 eV per atom
Energy above the lowest structure with this stoichiometry   0 meV per atom
Formation energy without anion corrections   -0.929 eV/atom

A plane-wave DFT calculation with PBE was carried out for Eu2HoAl after structural relaxation.

```
data_Eu2HoAl
_chemical_formula_sum 'Eu2 Ho1 Al1'
_cell_length_a 3.732
_cell_length_b 3.732
_cell_length_c 8.973
_cell_angle_alpha 90.00
_cell_angle_beta 90.00
_cell_angle_gamma 90.00
_symmetry_space_group_name_H-M 'P 4/m m m'
_symmetry_Int_Tables_number 123
_symmetry_space_group_name_Hall '-P 4 2'
loop_
_atom_site_label
_atom_site_type_symbol
_atom_site_fract_x
_atom_site_fract_y
_atom_site_fract_z
Eu1 Eu 0.000 0.000 0.210
Ho1 Ho 0.500 0.500 0.500
Al1 Al 0.500 0.500 0.000
```

Calculated density   6.59 g cm⁻³
Size of the total moment   15.1 Bohr magnetons per cell
Energy   -7.242 eV per atom
Energy above the lowest structure with this stoichiometry   30 meV per atom
Energy relative to the elements   -0.03 eV per atom

A plane-wave DFT calculation with PBE was carried out for ZnReSi after structural relaxation.

```
data_ZnReSi
_chemical_formula_sum 'Zn1 Re1 Si1'
_cell_length_a 4.2116
_cell_length_b 4.2116
_cell_length_c 2.8208
_cell_angle_alpha 90.00
_cell_angle_beta 90.00
_cell_angle_gamma 120.00
_symmetry_space_group_name_H-M 'P 3 m 1'
_symmetry_Int_Tables_number 156
loop_
_symmetry_equiv_pos_as_xyz
'x,y,z'
'-y,x-y,z'
'-x+y,-x,z'
'-y,-x,z'
'-x+y,y,z'
'x,x-y,z'
loop_
_atom_site_label
_atom_site_type_symbol
_atom_site_fract_x
_atom_site_fract_y
_atom_site_fract_z
Zn1 Zn 0.0000 0.0000 0.0000
Re1 Re 0.6667 0.3333 0.4972
Si1 Si 0.3333 0.6667 0.5931
```

Calculated density   10.72 g cm⁻³
Size of the total moment   0.0 Bohr magnetons per cell
Energy   -6.210 eV per atom
Energy above the lowest structure with this stoichiometry   122 meV per atom
Formation energy without anion corrections   0.171 eV/atom

A plane-wave DFT calculation with PBE was carried out for Tl16In12Bi after structural relaxation.

```
data_Tl16In12Bi
_chemical_formula_sum 'Tl32 In24 Bi2'
_cell_length_a 11.877
_cell_length_b 17.114
_cell_length_c 10.350
_cell_angle_alpha 90.00
_cell_angle_beta 124.60
_cell_angle_gamma 90.00
_symmetry_space_group_name_H-M 'C 1 m 1'
_symmetry_Int_Tables_number 8
loop_
_symmetry_equiv_pos_as_xyz
'x,y,z'
'x,-y,z'
'x+1/2,y+1/2,z'
'x+1/2,-y+1/2,z'
loop_
_atom_site_label
_atom_site_type_symbol
_atom_site_fract_x
_atom_site_fract_y
_atom_site_fract_z
Tl1 Tl 0.000 0.000 0.000
Tl2 Tl 0.004 0.000 0.354
Tl3 Tl 0.019 0.303 0.674
Tl4 Tl 0.042 0.360 0.354
Tl5 Tl 0.200 0.199 0.035
Tl6 Tl 0.315 0.000 0.069
Tl7 Tl 0.324 0.318 0.358
Tl8 Tl 0.341 0.342 0.750
Tl9 Tl 0.358 0.000 0.714
Tl10 Tl 0.441 0.160 0.955
In1 In 0.092 0.093 0.721
In2 In 0.125 0.500 0.167
In3 In 0.185 0.185 0.541
In4 In 0.228 0.406 0.990
In5 In 0.281 0.089 0.357
In6 In 0.308 0.500 0.528
In7 In 0.499 0.315 0.166
Bi1 Bi 0.108 0.500 0.651
```

Calculated density   9.32 g cm⁻³
Size of the total moment   0.0 Bohr magnetons per cell
Energy   -2.563 eV per atom
Energy relative to the elements   0.01 eV per atom

A plane-wave DFT calculation with PBE was carried out for BaMnRh after structural relaxation.

```
data_BaMnRh
_chemical_formula_sum 'Ba4 Mn4 Rh4'
_cell_length_a 6.834
_cell_length_b 6.834
_cell_length_c 6.834
_cell_angle_alpha 90.00
_cell_angle_beta 90.00
_cell_angle_gamma 90.00
_symmetry_space_group_name_H-M 'F -4 3 m'
_symmetry_Int_Tables_number 216
_symmetry_space_group_name_Hall 'F -4 2 3'
loop_
_atom_site_label
_atom_site_type_symbol
_atom_site_fract_x
_atom_site_fract_y
_atom_site_fract_z
Ba1 Ba 0.000 0.000 0.000
Mn1 Mn 0.250 0.250 0.250
Rh1 Rh 0.250 0.250 0.750
```

Calculated density   6.14 g cm⁻³
Size of the total moment   15.4 Bohr magnetons per cell
Energy   -4.972 eV per atom
Energy relative to the elements   1.18 eV per atom

A plane-wave DFT calculation with PBE was carried out for Th4SnTe2Os after structural relaxation.

```
data_Th4SnTe2Os
_chemical_formula_sum 'Th4 Sn1 Te2 Os1'
_cell_length_a 7.837
_cell_length_b 4.285
_cell_length_c 7.883
_cell_angle_alpha 90.00
_cell_angle_beta 107.83
_cell_angle_gamma 90.00
_symmetry_space_group_name_H-M 'P 1 2/m 1'
_symmetry_Int_Tables_number 10
loop_
_symmetry_equiv_pos_as_xyz
'x,y,z'
'-x,-y,-z'
'-x,y,-z'
'x,-y,z'
loop_
_atom_site_label
_atom_site_type_symbol
_atom_site_fract_x
_atom_site_fract_y
_atom_site_fract_z
Th1 Th 0.208 0.000 0.203
Th2 Th 0.233 0.500 0.777
Sn1 Sn 0.500 0.000 0.000
Te1 Te 0.000 0.000 0.500
Te2 Te 0.500 0.500 0.500
Os1 Os 0.000 0.500 0.000
```

Calculated density   9.83 g cm⁻³
Size of the total moment   0.0 Bohr magnetons per cell
Energy   -7.193 eV per atom
Formation energy without anion corrections   -0.793 eV/atom

A plane-wave DFT calculation with PBE was carried out for MnAl2ZnC after structural relaxation.

```
data_MnAl2ZnC
_chemical_formula_sum 'Mn1 Al2 Zn1 C1'
_cell_length_a 4.505
_cell_length_b 4.505
_cell_length_c 4.713
_cell_angle_alpha 90.00
_cell_angle_beta 90.00
_cell_angle_gamma 90.00
_symmetry_space_group_name_H-M 'P 4/m m m'
_symmetry_Int_Tables_number 123
_symmetry_space_group_name_Hall '-P 4 2'
loop_
_atom_site_label
_atom_site_type_symbol
_atom_site_fract_x
_atom_site_fract_y
_atom_site_fract_z
Mn1 Mn 0.000 0.000 0.000
Al1 Al 0.000 0.500 0.500
Zn1 Zn 0.000 0.000 0.500
C1 C 0.500 0.500 0.000
```

Calculated density   3.23 g cm⁻³
Size of the total moment   3.1 Bohr magnetons per cell
Energy   -3.715 eV per atom
Energy relative to the elements   1.72 eV per atom

A plane-wave DFT calculation with PBE was carried out for Ho2ErH8 after structural relaxation.

```
data_Ho2ErH8
_chemical_formula_sum 'Ho4 Er2 H16'
_cell_length_a 3.604
_cell_length_b 5.080
_cell_length_c 10.814
_cell_angle_alpha 90.00
_cell_angle_beta 90.00
_cell_angle_gamma 90.00
_symmetry_space_group_name_H-M 'I m m m'
_symmetry_Int_Tables_number 71
_symmetry_space_group_name_Hall '-I 2 2'
loop_
_atom_site_label
_atom_site_type_symbol
_atom_site_fract_x
_atom_site_fract_y
_atom_site_fract_z
Ho1 Ho 0.000 0.000 0.168
Er1 Er 0.000 0.000 0.500
H1 H 0.000 0.232 0.000
H2 H 0.000 0.259 0.339
H3 H 0.000 0.500 0.158
```

Calculated density   8.47 g cm⁻³
Size of the total moment   0.0 Bohr magnetons per cell
Energy   -4.311 eV per atom

A plane-wave DFT calculation with PBE was carried out for Pm8Cd2Tc after structural relaxation.

```
data_Pm8Cd2Tc
_chemical_formula_sum 'Pm16 Cd4 Tc2'
_cell_length_a 5.665
_cell_length_b 7.114
_cell_length_c 16.354
_cell_angle_alpha 90.00
_cell_angle_beta 90.00
_cell_angle_gamma 90.00
_symmetry_space_group_name_H-M 'I m m m'
_symmetry_Int_Tables_number 71
_symmetry_space_group_name_Hall '-I 2 2'
loop_
_atom_site_label
_atom_site_type_symbol
_atom_site_fract_x
_atom_site_fract_y
_atom_site_fract_z
Pm1 Pm 0.000 0.000 0.194
Pm2 Pm 0.000 0.239 0.375
Pm3 Pm 0.000 0.244 0.000
Cd1 Cd 0.000 0.500 0.187
Tc1 Tc 0.000 0.500 0.500
```

Calculated density   7.47 g cm⁻³
Size of the total moment   0.0 Bohr magnetons per cell
Energy   -4.620 eV per atom
Energy relative to the elements   -0.06 eV per atom

A plane-wave DFT calculation with PBE was carried out for Pr2U2Pt15 after structural relaxation.

```
data_Pr2U2Pt15
_chemical_formula_sum 'Pr6 U6 Pt45'
_cell_length_a 9.3500
_cell_length_b 9.3500
_cell_length_c 13.9046
_cell_angle_alpha 90.00
_cell_angle_beta 90.00
_cell_angle_gamma 120.00
_symmetry_space_group_name_H-M 'R -3 m'
_symmetry_Int_Tables_number 166
_symmetry_space_group_name_Hall '-R 3 2"'
loop_
_atom_site_label
_atom_site_type_symbol
_atom_site_fract_x
_atom_site_fract_y
_atom_site_fract_z
Pr1 Pr 0.0000 0.0000 0.1463
U1 U 0.0000 0.0000 0.4138
Pt1 Pt 0.0000 0.3167 0.5000
Pt2 Pt 0.0000 0.5000 0.0000
Pt3 Pt 0.9998 0.4999 0.3414
```

Calculated density   17.43 g cm⁻³
Size of the total moment   0.0 Bohr magnetons per cell
Energy   -7.108 eV per atom
Energy relative to the elements   -0.65 eV per atom

A plane-wave DFT calculation with PBE was carried out for Mg2TaPt2 after structural relaxation.

```
data_Mg2TaPt2
_chemical_formula_sum 'Mg4 Ta2 Pt4'
_cell_length_a 7.654
_cell_length_b 7.654
_cell_length_c 2.817
_cell_angle_alpha 90.00
_cell_angle_beta 90.00
_cell_angle_gamma 90.00
_symmetry_space_group_name_H-M 'P 4/m b m'
_symmetry_Int_Tables_number 127
_symmetry_space_group_name_Hall '-P 4 2ab'
loop_
_atom_site_label
_atom_site_type_symbol
_atom_site_fract_x
_atom_site_fract_y
_atom_site_fract_z
Mg1 Mg 0.123 0.377 0.000
Ta1 Ta 0.000 0.000 0.000
Pt1 Pt 0.177 0.677 0.500
```

Calculated density   12.47 g cm⁻³
Size of the total moment   0.0 Bohr magnetons per cell
Energy   -5.849 eV per atom
Energy above the lowest structure with this stoichiometry   61 meV per atom
Energy relative to the elements   -0.42 eV per atom

A plane-wave DFT calculation with PBE was carried out for BaNd2Ir after structural relaxation.

```
data_BaNd2Ir
_chemical_formula_sum 'Ba3 Nd6 Ir3'
_cell_length_a 4.2873
_cell_length_b 4.2873
_cell_length_c 29.3267
_cell_angle_alpha 90.00
_cell_angle_beta 90.00
_cell_angle_gamma 120.00
_symmetry_space_group_name_H-M 'R 3 m'
_symmetry_Int_Tables_number 160
_symmetry_space_group_name_Hall 'R 3 -2"'
loop_
_atom_site_label
_atom_site_type_symbol
_atom_site_fract_x
_atom_site_fract_y
_atom_site_fract_z
Ba1 Ba 0.0000 0.0000 0.0000
Nd1 Nd 0.0000 0.0000 0.2171
Nd2 Nd 0.0000 0.0000 0.4529
Ir1 Ir 0.0000 0.0000 0.8350
```

Calculated density   6.59 g cm⁻³
Size of the total moment   0.0 Bohr magnetons per cell
Energy   -5.444 eV per atom
Energy above the lowest structure with this stoichiometry   0 meV per atom
Energy relative to the elements   -0.36 eV per atom